No. 1
This record from Alexandria via LeMat-Bulk describes a geometry-optimized MgHgP2Cl structure. The functional is PBE-GGA.

Properties
- Formation energy (no corrections): 0.700 eV/atom
- SG: P4/mmm (123)
- Energy above the most stable polymorph in this dataset: 0.3012 eV/atom
- E_tot: -2.21 eV per atom

extended XYZ file:
```
5
Lattice="4.944 0.000 0.000 0.000 4.944 0.000 0.000 0.000 5.570" Properties=species:S:1:pos:R:3 pbc="T T T"
Mg 0.000 0.000 0.000
Hg 2.472 2.472 2.785
P 0.000 2.472 2.785
P 2.472 0.000 2.785
Cl 2.472 2.472 0.000
```

No. 2
This record from Alexandria via LeMat-Bulk describes a geometry-optimized MgHgPCl2 structure. The functional is PBE-GGA.

Properties
- Formation energy (no corrections): 0.191 eV/atom
- SG: P4/mmm (123)
- Energy above the most stable polymorph in this dataset: 0.5221 eV/atom
- E_tot: -2.01 eV per atom

extended XYZ file:
```
5
Lattice="5.279 0.000 0.000 0.000 5.279 0.000 0.000 0.000 5.116" Properties=species:S:1:pos:R:3 pbc="T T T"
Mg 0.000 0.000 0.000
Hg 2.640 2.640 2.558
P 2.640 2.640 0.000
Cl 0.000 2.640 2.558
Cl 2.640 0.000 2.558
```

Look up the E_tot of the second one. -2.01 eV per atom